This record from the Alexandria database describes a geometry-optimized Sm2Dy4Y5 structure. The functional is PBE.

```
data_Sm2Dy4Y5
_cell_length_a 8.931
_cell_length_b 8.931
_cell_length_c 6.658
_cell_angle_alpha 98.74
_cell_angle_beta 98.74
_cell_angle_gamma 43.97
_space_group_name_H-M_alt 'P 1'
_space_group_IT_number 1
_space_group_name_Hall 'P 1'
loop_
_atom_site_label
_atom_site_type_symbol
_atom_site_fract_x
_atom_site_fract_y
_atom_site_fract_z
Sm1 Sm 0.202 0.202 0.297
Sm2 Sm 0.798 0.798 0.703
Dy1 Dy 0.244 0.244 0.804
Dy2 Dy 0.413 0.413 0.595
Dy3 Dy 0.587 0.587 0.405
Dy4 Dy 0.756 0.756 0.196
Y1 Y 0.000 0.000 0.500
Y2 Y 0.172 0.648 0.092
Y3 Y 0.352 0.828 0.908
Y4 Y 0.648 0.172 0.092
Y5 Y 0.828 0.352 0.908
```

Properties
polymorph energy (0 for the lowest one) = 16 meV/atom
N(E_F) = 17.111 states/eV/cell
total magnetization = 0.0 μB/cell